(1)
Density functional theory data (PBE-GGA) for a geometry-optimized YU3N4 structure.

**Electronic total energy**: -10.594 eV/atom
**Calculated density**: 12.33 Mg/m³
**Total magnetic moment**: 3.9 Bohr magnetons per cell
**E_form (uncorrected)**: -1.391 eV per atom

Unit cell a=3.437 b=5.976 c=5.976 alpha=70.46 beta=90.00 gamma=90.00
Fractional coordinates of all 8 atoms:
1 U 0.000 0.000 0.000
2 U 0.500 0.000 0.500
3 U 0.000 0.500 0.500
4 Y 0.500 0.500 0.000
5 N 0.000 0.243 0.257
6 N 0.500 0.750 0.250
7 N 0.500 0.250 0.750
8 N 0.000 0.757 0.743

***

(2)
Density functional theory data (PBE-GGA) for a geometry-optimized YZrU2N4 structure.

**Electronic total energy**: -10.368 eV/atom
**Calculated density**: 10.60 Mg/m³
**Total magnetic moment**: 2.9 Bohr magnetons per cell
**E_form (uncorrected)**: -1.507 eV per atom

Unit cell a=3.382 b=5.880 c=5.942 alpha=109.21 beta=90.00 gamma=90.00
Fractional coordinates of all 8 atoms:
1 U 0.000 0.500 0.500
2 U 0.500 0.000 0.500
3 N 0.500 0.760 0.754
4 N 0.000 0.239 0.747
5 N 0.000 0.761 0.253
6 N 0.500 0.240 0.246
7 Zr 0.000 0.000 0.000
8 Y 0.500 0.500 0.000